Ca2LaIn2Hg2: optimized geometry, PBE-GGA.

Computed properties:
Theoretical density = 6.80 g/cm³
VASP energy = -53.790 eV for the cell shown
ΔE_f = -0.4170 eV per atom

```
data_Ca2LaIn2Hg2
_cell_length_a 4.9952
_cell_length_b 4.9952
_cell_length_c 28.8231
_cell_angle_alpha 90.00
_cell_angle_beta 90.00
_cell_angle_gamma 120.00
_symmetry_space_group_name_H-M 'R -3 m'
_symmetry_Int_Tables_number 166
_symmetry_space_group_name_Hall '-R 3 2"'
loop_
_atom_site_label
_atom_site_fract_x
_atom_site_fract_y
_atom_site_fract_z
Ca1 0.0000 0.0000 0.1281
La1 0.0000 0.0000 0.0000
In1 0.0000 0.0000 0.2558
Hg1 0.0000 0.0000 0.3944
```

LiCa2InHg6: optimized geometry, PBE-GGA.

Computed properties:
Theoretical density = 9.26 g/cm³
VASP energy = -13.671 eV for the cell shown
ΔE_f = -0.3204 eV per atom

```
data_LiCa2InHg6
_cell_length_a 5.510
_cell_length_b 5.582
_cell_length_c 8.934
_cell_angle_alpha 107.95
_cell_angle_beta 98.19
_cell_angle_gamma 99.81
_symmetry_space_group_name_H-M 'P -1'
_symmetry_Int_Tables_number 2
loop_
_symmetry_equiv_pos_as_xyz
'x,y,z'
'-x,-y,-z'
loop_
_atom_site_label
_atom_site_fract_x
_atom_site_fract_y
_atom_site_fract_z
Li1 0.000 0.000 0.000
Ca1 0.434 0.590 0.711
In1 0.500 0.000 0.500
Hg1 0.038 0.193 0.385
Hg2 0.068 0.603 0.186
Hg3 0.441 0.181 0.901
```

LiCaInHg: optimized geometry, PBE-GGA.

Computed properties:
Theoretical density = 5.89 g/cm³
VASP energy = -16.228 eV for the cell shown
ΔE_f = -0.2895 eV per atom

```
data_LiCaInHg
_cell_length_a 10.121
_cell_length_b 3.537
_cell_length_c 5.710
_cell_angle_alpha 90.00
_cell_angle_beta 91.92
_cell_angle_gamma 90.00
_symmetry_space_group_name_H-M 'C 1 m 1'
_symmetry_Int_Tables_number 8
loop_
_symmetry_equiv_pos_as_xyz
'x,y,z'
'x,-y,z'
'x+1/2,y+1/2,z'
'x+1/2,-y+1/2,z'
loop_
_atom_site_label
_atom_site_fract_x
_atom_site_fract_y
_atom_site_fract_z
Li1 0.000 0.000 0.000
Ca1 0.225 0.500 0.699
In1 0.278 0.000 0.196
Hg1 0.000 0.000 0.483
```

Li2CaInHg2: optimized geometry, PBE-GGA.

Computed properties:
Theoretical density = 7.07 g/cm³
VASP energy = -11.611 eV for the cell shown
ΔE_f = -0.4066 eV per atom

```
data_Li2CaInHg2
_cell_length_a 4.7914
_cell_length_b 4.7914
_cell_length_c 6.7346
_cell_angle_alpha 90.00
_cell_angle_beta 90.00
_cell_angle_gamma 120.00
_symmetry_space_group_name_H-M 'P -3 m 1'
_symmetry_Int_Tables_number 164
_symmetry_space_group_name_Hall '-P 3 2"'
loop_
_atom_site_label
_atom_site_fract_x
_atom_site_fract_y
_atom_site_fract_z
Li1 0.3333 0.6667 0.1785
Ca1 0.0000 0.0000 0.5000
In1 0.0000 0.0000 0.0000
Hg1 0.3333 0.6667 0.7509
```

Li2Ca3In2Hg4: optimized geometry, PBE-GGA.

Computed properties:
Theoretical density = 6.41 g/cm³
VASP energy = -38.573 eV for the cell shown
ΔE_f = -0.2518 eV per atom

```
data_Li2Ca3In2Hg4
_cell_length_a 4.761
_cell_length_b 4.761
_cell_length_c 26.665
_cell_angle_alpha 90.00
_cell_angle_beta 90.00
_cell_angle_gamma 90.00
_symmetry_space_group_name_H-M 'I 4/m m m'
_symmetry_Int_Tables_number 139
_symmetry_space_group_name_Hall '-I 4 2'
loop_
_atom_site_label
_atom_site_fract_x
_atom_site_fract_y
_atom_site_fract_z
Li1 0.000 0.000 0.169
Ca1 0.000 0.000 0.300
Ca2 0.000 0.000 0.500
In1 0.000 0.000 0.053
Hg1 0.000 0.500 0.119
```

LiCaIn2Hg4: optimized geometry, PBE-GGA.

Computed properties:
Theoretical density = 9.34 g/cm³
VASP energy = -38.651 eV for the cell shown
ΔE_f = -0.2855 eV per atom

```
data_LiCaIn2Hg4
_cell_length_a 5.1370
_cell_length_b 5.1370
_cell_length_c 25.1881
_cell_angle_alpha 90.00
_cell_angle_beta 90.00
_cell_angle_gamma 120.00
_symmetry_space_group_name_H-M 'R -3 m'
_symmetry_Int_Tables_number 166
_symmetry_space_group_name_Hall '-R 3 2"'
loop_
_atom_site_label
_atom_site_fract_x
_atom_site_fract_y
_atom_site_fract_z
Li1 0.0000 0.0000 0.0000
Ca1 0.0000 0.0000 0.5000
In1 0.0000 0.0000 0.2457
Hg1 0.0000 0.0000 0.1156
Hg2 0.0000 0.0000 0.3672
```

Li4CaIn2Hg: optimized geometry, PBE-GGA.

Computed properties:
Theoretical density = 4.86 g/cm³
VASP energy = -52.962 eV for the cell shown
ΔE_f = -0.2773 eV per atom

```
data_Li4CaIn2Hg
_cell_length_a 4.8616
_cell_length_b 4.8616
_cell_length_c 24.9253
_cell_angle_alpha 90.00
_cell_angle_beta 90.00
_cell_angle_gamma 120.00
_symmetry_space_group_name_H-M 'R -3 m'
_symmetry_Int_Tables_number 166
_symmetry_space_group_name_Hall '-R 3 2"'
loop_
_atom_site_label
_atom_site_fract_x
_atom_site_fract_y
_atom_site_fract_z
Li1 0.0000 0.0000 0.1072
Li2 0.0000 0.0000 0.3665
Ca1 0.0000 0.0000 0.5000
In1 0.0000 0.0000 0.2460
Hg1 0.0000 0.0000 0.0000
```

LiCaInHg2: optimized geometry, PBE-GGA.

Computed properties:
Theoretical density = 7.44 g/cm³
VASP energy = -8.263 eV for the cell shown
ΔE_f = -0.2010 eV per atom

```
data_LiCaInHg2
_cell_length_a 4.989
_cell_length_b 4.989
_cell_length_c 5.049
_cell_angle_alpha 90.00
_cell_angle_beta 90.00
_cell_angle_gamma 90.00
_symmetry_space_group_name_H-M 'P 4/m m m'
_symmetry_Int_Tables_number 123
_symmetry_space_group_name_Hall '-P 4 2'
loop_
_atom_site_label
_atom_site_fract_x
_atom_site_fract_y
_atom_site_fract_z
Li1 0.000 0.000 0.000
Ca1 0.500 0.500 0.500
In1 0.000 0.000 0.500
Hg1 0.000 0.500 0.000
```

- VASP energy of number 8 (LiCaInHg2)?
  -8.263 eV for the cell shown

- What is the VASP energy in the seventh record?
  -52.962 eV for the cell shown